Below is a geometry-optimized Mg4CuGe2 structure, with properties calculated at the PBE-GGA level.

Output
- Calculated volume: 22.6 Å³/atom
- Energy relative to the elements: 0.162 eV per atom
- VASP energy: -37.15 eV for the cell shown
- M_tot: 0.0 μB/f.u.

Unit cell a=4.759 b=4.759 c=13.971 alpha=90.00 beta=90.00 gamma=90.00
Atoms (fractional coordinates):
Mg: 0.000 0.000 0.183
Mg: 0.000 0.000 0.817
Mg: 0.000 0.500 0.000
Mg: 0.000 0.500 0.500
Mg: 0.500 0.000 0.000
Mg: 0.500 0.000 0.500
Mg: 0.500 0.500 0.317
Mg: 0.500 0.500 0.683
Cu: 0.000 0.000 0.000
Cu: 0.500 0.500 0.500
Ge: 0.000 0.000 0.376
Ge: 0.000 0.000 0.624
Ge: 0.500 0.500 0.124
Ge: 0.500 0.500 0.876